Record 1
This record from Alexandria via LeMat-Bulk describes a relaxed Li3In6Sn crystal. The functional is PBE.

DFT formation energy = -0.139 eV/atom
Energy relative to the lowest polymorph listed for this composition = 0 meV/atom

Cell lengths 5.433, 8.357, 10.902 Å; angles 107.95, 90.00, 90.00 degrees
Sites, in units of the cell vectors:
In  0.750  0.810  0.872
In  0.250  0.409  0.936
In  0.750  0.405  0.268
In  0.250  0.972  0.320
In  0.250  0.807  0.532
In  0.250  0.190  0.128
In  0.750  0.591  0.064
In  0.250  0.595  0.732
In  0.750  0.028  0.680
In  0.750  0.193  0.468
In  0.750  0.992  0.168
In  0.250  0.008  0.832
Sn  0.250  0.378  0.428
Sn  0.750  0.622  0.572
Li  0.250  0.200  0.632
Li  0.750  0.419  0.768
Li  0.750  0.800  0.368
Li  0.250  0.581  0.232
Li  0.250  0.802  0.030
Li  0.750  0.198  0.970

=====

Record 2
This record from Alexandria via LeMat-Bulk describes a relaxed LiP2Br crystal. The functional is PBE.

ΔE_f (raw) = -0.339 eV/atom
Energy relative to the lowest polymorph listed for this composition = 159 meV/atom

Cell lengths 3.387, 3.387, 8.838 Å; angles 90.00, 90.00, 90.00 degrees
Sites, in units of the cell vectors:
P  0.500  0.500  0.000
P  0.000  0.000  0.000
Br  0.500  0.000  0.500
Li  0.000  0.500  0.500

=====

Record 3
This record from Alexandria via LeMat-Bulk describes a relaxed MgCoIr2 crystal. The functional is PBE.

DFT formation energy = -0.051 eV/atom

Cell lengths 4.620, 4.620, 2.729 Å; angles 90.00, 90.00, 107.77 degrees
Site moments in Bohr magnetons follow the coordinates.
Sites, in units of the cell vectors:
Mg  0.500  0.000  0.500  0.00
Co  0.000  0.500  0.500  1.04
Ir  0.000  0.000  0.000  0.05
Ir  0.500  0.500  0.000  0.05

=====

Record 4
This record from Alexandria via LeMat-Bulk describes a relaxed NaAc2Pd7Pb2 crystal. The functional is PBE.

DFT formation energy = -0.374 eV/atom

Cell lengths 4.370, 4.370, 14.362 Å; angles 84.17, 84.17, 88.81 degrees
Sites, in units of the cell vectors:
Pd  0.500  0.500  0.000
Pd  0.369  0.369  0.432
Pd  0.631  0.631  0.568
Pd  0.959  0.457  0.128
Pd  0.543  0.041  0.872
Pd  0.041  0.543  0.872
Pd  0.457  0.959  0.128
Pb  0.423  0.423  0.238
Pb  0.577  0.577  0.762
Na  0.000  0.000  0.000
Ac  0.890  0.890  0.360
Ac  0.110  0.110  0.640

=====

Record 5
This record from Alexandria via LeMat-Bulk describes a relaxed BaTa2Mn crystal. The functional is PBE.

DFT formation energy = 0.639 eV/atom
Energy relative to the lowest polymorph listed for this composition = 66 meV/atom

Cell lengths 4.150, 3.104, 7.935 Å; angles 68.05, 90.00, 90.00 degrees
Sites, in units of the cell vectors:
Ta  0.000  0.919  0.975
Ta  0.500  0.215  0.151
Mn  0.500  0.686  0.856
Ba  0.000  0.679  0.518

=====

Record 6
This record from Alexandria via LeMat-Bulk describes a relaxed ScPaAsP crystal. The functional is PBE.

DFT formation energy = -1.297 eV/atom

Cell lengths 3.938, 3.938, 6.772 Å; angles 73.10, 73.10, 60.00 degrees
Sites, in units of the cell vectors:
Pa  0.996  0.996  0.012
Sc  0.504  0.504  0.488
As  0.755  0.755  0.736
P  0.245  0.245  0.265

=====

Record 7
This record from Alexandria via LeMat-Bulk describes a relaxed Ga3POs crystal. The functional is PBE.

DFT formation energy = 1.115 eV/atom
Energy relative to the lowest polymorph listed for this composition = 591 meV/atom

Cell lengths 4.615, 4.615, 4.615 Å; angles 90.00, 90.00, 90.00 degrees
Site moments in Bohr magnetons follow the coordinates.
Sites, in units of the cell vectors:
Ga  0.000  0.000  0.500  0.01
Ga  0.000  0.500  0.000  -0.01
Ga  0.500  0.000  0.000  -0.03
P  0.000  0.000  0.000  -0.01
Os  0.500  0.500  0.500  1.57

=====

Record 8
This record from Alexandria via LeMat-Bulk describes a relaxed Tb5YTm7 crystal. The functional is PBE.

DFT formation energy = 0.255 eV/atom

Cell lengths 6.649, 8.602, 8.602 Å; angles 79.36, 67.27, 67.27 degrees
Sites, in units of the cell vectors:
Tm  0.516  0.156  0.812
Tm  0.276  0.724  0.724
Tm  0.579  0.421  0.421
Tm  0.516  0.812  0.156
Tm  0.019  0.647  0.314
Tm  0.019  0.314  0.647
Tm  0.269  0.231  0.231
Tb  0.999  0.458  0.004
Tb  0.764  0.736  0.736
Tb  0.538  0.458  0.004
Tb  0.538  0.004  0.458
Tb  0.999  0.004  0.458
Y  0.967  0.033  0.033

=====

Record 9
This record from Alexandria via LeMat-Bulk describes a relaxed Ce2Si3Ir crystal. The functional is PBE.

ΔE_f (raw) = -0.883 eV/atom
Energy relative to the lowest polymorph listed for this composition = 0 meV/atom

Cell lengths 5.829, 5.829, 8.198 Å; angles 110.90, 110.90, 89.81 degrees
Site moments in Bohr magnetons follow the coordinates.
Sites, in units of the cell vectors:
Si  0.164  0.670  0.834  0.00
Si  0.670  0.164  0.834  0.00
Si  0.165  0.165  0.331  0.00
Si  0.330  0.836  0.166  0.00
Si  0.835  0.835  0.669  0.00
Si  0.836  0.330  0.166  0.00
Ce  0.253  0.253  0.000  0.26
Ce  0.250  0.750  0.500  0.37
Ce  0.747  0.747  0.000  0.26
Ce  0.750  0.250  0.500  0.37
Ir  0.334  0.334  0.667  -0.02
Ir  0.666  0.666  0.333  -0.02

=====

Record 10
This record from Alexandria via LeMat-Bulk describes a relaxed In2FeP crystal. The functional is PBE.

DFT formation energy = 0.416 eV/atom

Cell lengths 3.610, 3.692, 6.293 Å; angles 62.76, 90.00, 90.00 degrees
Site moments in Bohr magnetons follow the coordinates.
Sites, in units of the cell vectors:
In  0.000  0.011  0.998  -0.06
In  0.000  0.489  0.502  -0.06
P  0.500  0.250  0.250  0.04
Fe  0.500  0.750  0.750  2.44

=====

Record 11
This record from Alexandria via LeMat-Bulk describes a relaxed Sc2As2N crystal. The functional is PBE.

ΔE_f (raw) = -0.115 eV/atom
Energy relative to the lowest polymorph listed for this composition = 0 meV/atom

Cell lengths 5.197, 5.197, 5.122 Å; angles 59.51, 59.51, 90.00 degrees
Sites, in units of the cell vectors:
Sc  0.250  0.750  0.500
Sc  0.750  0.250  0.500
As  0.697  0.697  0.607
As  0.303  0.303  0.393
N  0.000  0.000  0.000

=====

Record 12
This record from Alexandria via LeMat-Bulk describes a relaxed Pu2Co4Ge3 crystal. The functional is PBE.

DFT formation energy = -0.312 eV/atom

Cell lengths 5.497, 6.695, 7.927 Å; angles 90.00, 110.29, 90.00 degrees
Site moments in Bohr magnetons follow the coordinates.
Sites, in units of the cell vectors:
Ge  0.986  0.250  0.472  -0.01
Ge  0.014  0.750  0.528  -0.01
Ge  0.486  0.250  0.472  -0.01
Ge  0.500  0.500  0.000  -0.03
Ge  0.514  0.750  0.528  -0.01
Ge  0.000  0.000  0.000  -0.03
Co  0.671  0.516  0.343  -0.22
Co  0.676  0.750  0.852  -0.45
Co  0.329  0.484  0.657  -0.22
Co  0.171  0.984  0.343  -0.22
Co  0.176  0.750  0.852  -0.45
Co  0.829  0.016  0.657  -0.22
Co  0.824  0.250  0.148  -0.45
Co  0.324  0.250  0.148  -0.45
Pu  0.602  0.912  0.204  4.93
Pu  0.102  0.588  0.204  4.93
Pu  0.898  0.412  0.796  4.93
Pu  0.398  0.088  0.796  4.93

=====

Record 13
This record from Alexandria via LeMat-Bulk describes a relaxed CsNi2Rh crystal. The functional is PBE.

DFT formation energy = 1.237 eV/atom

Cell lengths 4.633, 4.633, 4.633 Å; angles 60.00, 60.00, 60.00 degrees
Site moments in Bohr magnetons follow the coordinates.
Sites, in units of the cell vectors:
Cs  0.500  0.500  0.500  0.00
Ni  0.250  0.250  0.250  0.43
Ni  0.750  0.750  0.750  0.43
Rh  0.000  0.000  0.000  0.52

=====

E_tot
In order: -2.756, -3.941, -6.657, -4.815, -8.061, -7.768, -4.029, -4.430, -7.050, -4.421, -6.173, -8.194, -3.705
Unit: eV/atom